Version 1
The following is a GGA-PBE calculation of crystalline NdB3O6 at its relaxed geometry, from Alexandria.

```
NdB3O6
1.0
16.3753 0.0000 0.0000
0.0000 7.5454 0.0000
0.0000 0.0000 12.5805
Nd B O
16 48 96
Direct
0.0478 0.2500 0.0856
0.1177 0.7500 0.5050
0.1280 0.7500 0.2231
0.1706 0.2500 0.4300
0.3294 0.7500 0.9300
0.3720 0.2500 0.7231
0.3823 0.2500 0.0050
0.4522 0.7500 0.5856
0.5478 0.2500 0.4144
0.6177 0.7500 0.9950
0.6280 0.7500 0.2769
0.6706 0.2500 0.0700
0.8294 0.7500 0.5700
0.8720 0.2500 0.7769
0.8823 0.2500 0.4950
0.9522 0.7500 0.9144
0.0284 0.0614 0.3186
0.0284 0.4386 0.3186
0.0594 0.0731 0.8444
0.0594 0.4269 0.8444
0.1104 0.0777 0.6453
0.1104 0.4223 0.6453
0.1554 0.5745 0.9802
0.1554 0.9255 0.9802
0.2164 0.0702 0.8108
0.2164 0.4298 0.8108
0.2443 0.0688 0.1279
0.2443 0.4312 0.1279
0.2557 0.5688 0.6279
0.2557 0.9312 0.6279
0.2836 0.5702 0.3108
0.2836 0.9298 0.3108
0.3446 0.0745 0.4802
0.3446 0.4255 0.4802
0.3896 0.5777 0.1453
0.3896 0.9223 0.1453
0.4406 0.5731 0.3444
0.4406 0.9269 0.3444
0.4716 0.5614 0.8186
0.4716 0.9386 0.8186
0.5284 0.0614 0.1814
0.5284 0.4386 0.1814
0.5594 0.0731 0.6556
0.5594 0.4269 0.6556
0.6104 0.0777 0.8547
0.6104 0.4223 0.8547
0.6554 0.5745 0.5198
0.6554 0.9255 0.5198
0.7164 0.0702 0.6892
0.7164 0.4298 0.6892
0.7443 0.0688 0.3721
0.7443 0.4312 0.3721
0.7557 0.5688 0.8721
0.7557 0.9312 0.8721
0.7836 0.5702 0.1892
0.7836 0.9298 0.1892
0.8446 0.0745 0.0198
0.8446 0.4255 0.0198
0.8896 0.5777 0.3547
0.8896 0.9223 0.3547
0.9406 0.5731 0.1556
0.9406 0.9269 0.1556
0.9716 0.5614 0.6814
0.9716 0.9386 0.6814
0.0172 0.5152 0.2074
0.0172 0.9848 0.2074
0.0481 0.2500 0.8913
0.0492 0.5596 0.6252
0.0492 0.9404 0.6252
0.0593 0.2500 0.3021
0.0733 0.5495 0.9332
0.0733 0.9505 0.9332
0.0801 0.2500 0.6103
0.0934 0.5371 0.3704
0.0934 0.9629 0.3704
0.1295 0.0723 0.7653
0.1295 0.4277 0.7653
0.1620 0.7500 0.0313
0.1671 0.0567 0.0665
0.1671 0.4433 0.0665
0.1842 0.0346 0.5805
0.1842 0.4654 0.5805
0.2182 0.5548 0.8984
0.2182 0.9452 0.8984
0.2253 0.7500 0.6315
0.2264 0.5098 0.2305
0.2264 0.9902 0.2305
0.2449 0.2500 0.8451
0.2551 0.7500 0.3451
0.2736 0.0098 0.7305
0.2736 0.4902 0.7305
0.2747 0.2500 0.1315
0.2818 0.0548 0.3984
0.2818 0.4452 0.3984
0.3158 0.5346 0.0805
0.3158 0.9654 0.0805
0.3329 0.5567 0.5665
0.3329 0.9433 0.5665
0.3380 0.2500 0.5313
0.3705 0.5723 0.2653
0.3705 0.9277 0.2653
0.4066 0.0371 0.8704
0.4066 0.4629 0.8704
0.4199 0.7500 0.1103
0.4267 0.0495 0.4332
0.4267 0.4505 0.4332
0.4407 0.7500 0.8021
0.4508 0.0596 0.1252
0.4508 0.4404 0.1252
0.4519 0.7500 0.3913
0.4828 0.0152 0.7074
0.4828 0.4848 0.7074
0.5172 0.5152 0.2926
0.5172 0.9848 0.2926
0.5481 0.2500 0.6087
0.5492 0.5596 0.8748
0.5492 0.9404 0.8748
0.5593 0.2500 0.1979
0.5733 0.5495 0.5668
0.5733 0.9505 0.5668
0.5801 0.2500 0.8897
0.5934 0.5371 0.1296
0.5934 0.9629 0.1296
0.6295 0.0723 0.7347
0.6295 0.4277 0.7347
0.6620 0.7500 0.4687
0.6671 0.0567 0.4335
0.6671 0.4433 0.4335
0.6842 0.0346 0.9195
0.6842 0.4654 0.9195
0.7182 0.5548 0.6016
0.7182 0.9452 0.6016
0.7253 0.7500 0.8685
0.7264 0.5098 0.2695
0.7264 0.9902 0.2695
0.7449 0.2500 0.6549
0.7551 0.7500 0.1549
0.7736 0.0098 0.7695
0.7736 0.4902 0.7695
0.7747 0.2500 0.3685
0.7818 0.0548 0.1016
0.7818 0.4452 0.1016
0.8158 0.5346 0.4195
0.8158 0.9654 0.4195
0.8329 0.5567 0.9335
0.8329 0.9433 0.9335
0.8380 0.2500 0.9687
0.8705 0.5723 0.2347
0.8705 0.9277 0.2347
0.9066 0.0371 0.6296
0.9066 0.4629 0.6296
0.9199 0.7500 0.3897
0.9267 0.0495 0.0668
0.9267 0.4505 0.0668
0.9407 0.7500 0.6979
0.9508 0.0596 0.3748
0.9508 0.4404 0.3748
0.9519 0.7500 0.1087
0.9828 0.0152 0.7926
0.9828 0.4848 0.7926
```

Calculated values
**Total magnetization**: 0.000 μB/f.u.
**D(E_F)**: 0.00 states/eV/f.u.
**Mass density**: 4.66 Mg/m³



Version 2
The following is a GGA-PBE calculation of crystalline NdB3O6 at its relaxed geometry, from Alexandria.

```
NdB3O6
1.0
4.9551 -4.0872 0.0000
4.9551 4.0872 0.0000
-3.8644 0.0000 5.1484
Nd B O
2 6 12
Direct
0.2017 0.7983 0.7500
0.7983 0.2017 0.2500
0.2063 0.3404 0.9149
0.2224 0.7776 0.2500
0.3404 0.2063 0.4149
0.6596 0.7937 0.5851
0.7776 0.2224 0.7500
0.7937 0.6596 0.0851
0.0090 0.7816 0.2887
0.2089 0.3851 0.4958
0.2123 0.5839 0.0074
0.2184 0.9910 0.2113
0.3851 0.2089 0.9958
0.4161 0.7877 0.4926
0.5839 0.2123 0.5074
0.6149 0.7911 0.0042
0.7816 0.0090 0.7887
0.7877 0.4161 0.9926
0.7911 0.6149 0.5042
0.9910 0.2184 0.7113
```

Calculated values
**Total magnetization**: 0.000 μB/f.u.
**D(E_F)**: 0.00 states/eV/f.u.
**Mass density**: 4.34 Mg/m³



Computed relative energies in units of meV per atom: version 1 0; version 2 13



Version 1
The following is a GGA-PBE calculation of crystalline NdBP2 at its relaxed geometry, from Alexandria.

```
NdBP2
1.0
2.4495 -2.4488 0.0000
2.4495 2.4488 0.0000
-2.4397 0.0000 5.6405
Nd B P
1 1 2
Direct
0.0000 0.0000 0.0000
0.2487 0.7513 0.5000
0.3477 0.3491 0.6968
0.6509 0.6523 0.3032
```

Calculated values
**Total magnetization**: 0.000 μB/f.u.
**D(E_F)**: 1.54 states/eV/f.u.
**Mass density**: 5.33 Mg/m³



Version 2
The following is a GGA-PBE calculation of crystalline NdBP2 at its relaxed geometry, from Alexandria.

```
NdBP2
1.0
2.2560 1.3025 6.3187
-2.2560 1.3025 6.3187
0.0000 -2.6050 6.3187
Nd B P
1 1 2
Direct
0.0000 0.0000 0.0000
0.5000 0.5000 0.5000
0.4066 0.4066 0.4066
0.5934 0.5934 0.5934
```

Calculated values
**Total magnetization**: 0.000 μB/f.u.
**Mass density**: 3.23 Mg/m³



Computed relative energies in units of meV per atom: version 1 0; version 2 75



Version 1
The following is a GGA-PBE calculation of crystalline NdBP at its relaxed geometry, from Alexandria.

```
NdBP
1.0
1.8650 -10.9996 0.0000
1.8650 10.9996 0.0000
0.0000 0.0000 3.2325
Nd B P
2 2 2
Direct
0.0860 0.9140 0.7500
0.9140 0.0860 0.2500
0.3552 0.6448 0.7500
0.6448 0.3552 0.2500
0.3099 0.6901 0.2500
0.6901 0.3099 0.7500
```

Calculated values
**Total magnetization**: 0.000 μB/f.u.
**D(E_F)**: 1.42 states/eV/f.u.
**Mass density**: 4.66 Mg/m³



Version 2
The following is a GGA-PBE calculation of crystalline NdBP at its relaxed geometry, from Alexandria.

```
NdBP
1.0
5.1413 -1.7101 0.0000
5.1413 1.7101 0.0000
-3.1681 0.0000 6.4793
Nd B P
2 2 2
Direct
0.2062 0.2062 0.2364
0.7938 0.7938 0.7636
0.4922 0.4922 0.6134
0.5078 0.5078 0.3866
0.0696 0.0696 0.7775
0.9304 0.9304 0.2225
```

Calculated values
**Total magnetization**: 0.000 μB/f.u.
**D(E_F)**: 1.51 states/eV/f.u.
**Mass density**: 5.42 Mg/m³



Computed relative energies in units of meV per atom: version 1 465; version 2 0



Version 1
The following is a GGA-PBE calculation of crystalline NdB4Rh6 at its relaxed geometry, from Alexandria.

```
NdB4Rh6
1.0
-2.8789 2.8789 4.1459
2.8789 -2.8789 4.1459
2.8789 2.8789 -4.1459
Nd B Rh
1 4 6
Direct
0.0000 0.0000 0.0000
0.2806 0.5727 0.0000
0.4273 0.4273 0.7078
0.5727 0.2806 0.0000
0.7194 0.7194 0.2922
0.0000 0.5000 0.5000
0.1080 0.1080 0.6326
0.4754 0.4754 0.3674
0.5000 0.0000 0.5000
0.5246 0.8920 0.0000
0.8920 0.5246 0.0000
```

Calculated values
**Total magnetization**: 0.000 μB/f.u.
**D(E_F)**: 6.28 states/eV/f.u.
**Mass density**: 9.72 Mg/m³



Version 2
The following is a GGA-PBE calculation of crystalline NdB4Rh6 at its relaxed geometry, from Alexandria.

```
NdB4Rh6
1.0
6.7470 0.0000 0.0000
-3.3735 5.8431 0.0000
0.0000 0.0000 3.4641
Nd B Rh
1 4 6
Direct
0.0000 0.0000 0.0000
0.3333 0.6667 0.0000
0.4156 0.2078 0.5000
0.7922 0.2078 0.5000
0.7922 0.5844 0.5000
0.1991 0.3982 0.5000
0.1991 0.8009 0.5000
0.5366 0.0733 0.0000
0.5366 0.4634 0.0000
0.6018 0.8009 0.5000
0.9267 0.4634 0.0000
```

Calculated values
**Total magnetization**: 0.000 μB/f.u.
**D(E_F)**: 3.88 states/eV/f.u.
**Mass density**: 9.79 Mg/m³



Computed relative energies in units of meV per atom: version 1 29; version 2 0



Version 1
The following is a GGA-PBE calculation of crystalline NdB4Ru4 at its relaxed geometry, from Alexandria.

```
NdB4Ru4
1.0
-3.7791 3.7791 7.5707
3.7791 -3.7791 7.5707
3.7791 3.7791 -7.5707
Nd B Ru
4 16 16
Direct
0.1250 0.3750 0.7500
0.3750 0.1250 0.2500
0.6250 0.8750 0.7500
0.8750 0.6250 0.2500
0.0636 0.1241 0.2741
0.1241 0.3500 0.0605
0.1500 0.3759 0.4395
0.2105 0.9364 0.5605
0.2895 0.8500 0.7259
0.3500 0.7895 0.2259
0.3759 0.4364 0.2259
0.4364 0.7105 0.0605
0.5636 0.2895 0.9395
0.6241 0.5636 0.7741
0.6500 0.2105 0.7741
0.7105 0.1500 0.2741
0.7895 0.0636 0.4395
0.8500 0.6241 0.5605
0.8759 0.6500 0.9395
0.9364 0.8759 0.7259
0.0413 0.8211 0.9891
0.0522 0.0413 0.7202
0.1680 0.6789 0.7202
0.1789 0.6680 0.2202
0.3211 0.5413 0.4891
0.3320 0.0522 0.5109
0.4478 0.1680 0.9891
0.4587 0.4478 0.7798
0.5413 0.5522 0.2202
0.5522 0.8320 0.0109
0.6680 0.9478 0.4891
0.6789 0.4587 0.5109
0.8211 0.3320 0.7798
0.8320 0.3211 0.2798
0.9478 0.9587 0.2798
0.9587 0.1789 0.0109
```

Calculated values
**Total magnetization**: 0.000 μB/f.u.
**D(E_F)**: 7.62 states/eV/f.u.
**Mass density**: 9.09 Mg/m³



Version 2
The following is a GGA-PBE calculation of crystalline NdB4Ru4 at its relaxed geometry, from Alexandria.

```
NdB4Ru4
1.0
7.5436 0.0000 0.0000
0.0000 7.5436 0.0000
0.0000 0.0000 4.0249
Nd B Ru
2 8 8
Direct
0.2500 0.2500 0.2500
0.7500 0.7500 0.7500
0.0392 0.9169 0.1397
0.0831 0.5392 0.6397
0.4169 0.9608 0.6397
0.4608 0.5831 0.1397
0.5392 0.4169 0.8603
0.5831 0.0392 0.3603
0.9169 0.4608 0.3603
0.9608 0.0831 0.8603
0.1052 0.6418 0.1397
0.1418 0.8948 0.6397
0.3582 0.6052 0.6397
0.3948 0.8582 0.1397
0.6052 0.1418 0.8603
0.6418 0.3948 0.3603
0.8582 0.1052 0.3603
0.8948 0.3582 0.8603
```

Calculated values
**Total magnetization**: 0.000 μB/f.u.
**D(E_F)**: 7.15 states/eV/f.u.
**Mass density**: 8.58 Mg/m³



Computed relative energies in units of meV per atom: version 1 19; version 2 0



Version 1
The following is a GGA-PBE calculation of crystalline NdBRu at its relaxed geometry, from Alexandria.

```
NdBRu
1.0
-2.0253 2.0253 6.6311
2.0253 -2.0253 6.6311
2.0253 2.0253 -6.6311
Nd B Ru
2 2 2
Direct
0.1547 0.1547 0.0000
0.8453 0.8453 0.0000
0.4283 0.4283 0.0000
0.5717 0.5717 0.0000
0.0000 0.5000 0.5000
0.5000 0.0000 0.5000
```

Calculated values
**Total magnetization**: 0.000 μB/f.u.
**D(E_F)**: 1.72 states/eV/f.u.
**Mass density**: 7.82 Mg/m³



Version 2
The following is a GGA-PBE calculation of crystalline NdBRu at its relaxed geometry, from Alexandria.

```
NdBRu
1.0
3.0453 0.0000 0.0000
0.0021 3.0455 0.0000
1.4098 1.4810 5.1830
Nd B Ru
1 1 1
Direct
0.0000 0.0000 0.0000
0.2769 0.2841 0.4268
0.7177 0.7253 0.5438
```

Calculated values
**Total magnetization**: 0.000 μB/f.u.
**D(E_F)**: 2.36 states/eV/f.u.
**Mass density**: 8.85 Mg/m³



Computed relative energies in units of meV per atom: version 1 0; version 2 240